Record 1
YP2Br: relaxed, PBEsol.

The structure in CIF format:
```
data_YP2Br
_cell_length_a 3.806
_cell_length_b 3.967
_cell_length_c 5.782
_cell_angle_alpha 110.06
_cell_angle_beta 109.22
_cell_angle_gamma 90.00
_symmetry_space_group_name_H-M 'P 1'
_symmetry_Int_Tables_number 1
loop_
_symmetry_equiv_pos_as_xyz
'x,y,z'
loop_
_atom_site_label
_atom_site_type_symbol
_atom_site_fract_x
_atom_site_fract_y
_atom_site_fract_z
Br1 Br 0.000 0.500 0.000
P1 P 0.754 0.754 0.507
P2 P 0.246 0.246 0.493
Y1 Y 0.500 0.000 0.000
```

Space-group type: Immm
Fermi-level density of states: 1.65 states/eV/f.u.
E_form (uncorrected): -547.6 meV/atom

---

Record 2
TiBrF3: relaxed, PBEsol.

The structure in CIF format:
```
data_TiBrF3
_cell_length_a 4.508
_cell_length_b 4.508
_cell_length_c 4.508
_cell_angle_alpha 90.00
_cell_angle_beta 90.00
_cell_angle_gamma 90.00
_symmetry_space_group_name_H-M 'P 1'
_symmetry_Int_Tables_number 1
loop_
_symmetry_equiv_pos_as_xyz
'x,y,z'
loop_
_atom_site_label
_atom_site_type_symbol
_atom_site_fract_x
_atom_site_fract_y
_atom_site_fract_z
F1 F 0.000 0.500 0.000
F2 F 0.000 0.000 0.500
F3 F 0.500 0.000 0.000
Br1 Br 0.000 0.000 0.000
Ti1 Ti 0.500 0.500 0.500
```

Space-group type: Pm-3m
Fermi-level density of states: 3.76 states/eV/f.u.
E_form (uncorrected): -281.6 meV/atom

---

Record 3
TaBeOs4: relaxed, PBEsol.

The structure in CIF format:
```
data_TaBeOs4
_cell_length_a 5.065
_cell_length_b 5.065
_cell_length_c 5.065
_cell_angle_alpha 60.00
_cell_angle_beta 60.00
_cell_angle_gamma 60.00
_symmetry_space_group_name_H-M 'P 1'
_symmetry_Int_Tables_number 1
loop_
_symmetry_equiv_pos_as_xyz
'x,y,z'
loop_
_atom_site_label
_atom_site_type_symbol
_atom_site_fract_x
_atom_site_fract_y
_atom_site_fract_z
Be1 Be 0.000 0.000 0.000
Os1 Os 0.374 0.374 0.374
Os2 Os 0.374 0.374 0.877
Os3 Os 0.877 0.374 0.374
Os4 Os 0.374 0.877 0.374
Ta1 Ta 0.750 0.750 0.750
```

Energy: -10.4461 eV per atom
Space-group type: F-43m
Fermi-level density of states: 4.26 states/eV/f.u.

---

Record 4
CuMoCl3: relaxed, PBEsol.

The structure in CIF format:
```
data_CuMoCl3
_cell_length_a 4.645
_cell_length_b 4.645
_cell_length_c 4.645
_cell_angle_alpha 90.00
_cell_angle_beta 90.00
_cell_angle_gamma 90.00
_symmetry_space_group_name_H-M 'P 1'
_symmetry_Int_Tables_number 1
loop_
_symmetry_equiv_pos_as_xyz
'x,y,z'
loop_
_atom_site_label
_atom_site_type_symbol
_atom_site_fract_x
_atom_site_fract_y
_atom_site_fract_z
Mo1 Mo 0.500 0.500 0.500
Cu1 Cu 0.000 0.000 0.000
Cl1 Cl 0.000 0.500 0.000
Cl2 Cl 0.000 0.000 0.500
Cl3 Cl 0.500 0.000 0.000
```

Space-group type: Pm-3m
Fermi-level density of states: 5.90 states/eV/f.u.
E_form (uncorrected): 380.9 meV/atom

---

Record 5
LiTc2Sb: relaxed, PBEsol.

The structure in CIF format:
```
data_LiTc2Sb
_cell_length_a 3.166
_cell_length_b 4.253
_cell_length_c 4.621
_cell_angle_alpha 102.77
_cell_angle_beta 90.00
_cell_angle_gamma 90.00
_symmetry_space_group_name_H-M 'P 1'
_symmetry_Int_Tables_number 1
loop_
_symmetry_equiv_pos_as_xyz
'x,y,z'
loop_
_atom_site_label
_atom_site_type_symbol
_atom_site_fract_x
_atom_site_fract_y
_atom_site_fract_z
Li1 Li 0.500 0.000 0.500
Sb1 Sb 0.000 0.500 0.500
Tc1 Tc 0.000 0.000 0.000
Tc2 Tc 0.500 0.500 0.000
```

Space-group type: P2/m
Fermi-level density of states: 3.34 states/eV/f.u.
E_form (uncorrected): 267.3 meV/atom

---

Record 6
CdCu: relaxed, PBEsol.

The structure in CIF format:
```
data_CdCu
_cell_length_a 2.868
_cell_length_b 2.868
_cell_length_c 4.695
_cell_angle_alpha 72.22
_cell_angle_beta 72.22
_cell_angle_gamma 60.00
_symmetry_space_group_name_H-M 'P 1'
_symmetry_Int_Tables_number 1
loop_
_symmetry_equiv_pos_as_xyz
'x,y,z'
loop_
_atom_site_label
_atom_site_type_symbol
_atom_site_fract_x
_atom_site_fract_y
_atom_site_fract_z
Cd1 Cd 0.000 0.000 0.000
Cu1 Cu 0.500 0.500 0.500
```

Energy: -2.6207 eV per atom
Space-group type: R-3m
Fermi-level density of states: 0.65 states/eV/f.u.

---

Record 7
Hg2IrOs: relaxed, PBEsol.

The structure in CIF format:
```
data_Hg2IrOs
_cell_length_a 4.057
_cell_length_b 4.057
_cell_length_c 4.981
_cell_angle_alpha 114.03
_cell_angle_beta 114.03
_cell_angle_gamma 90.00
_symmetry_space_group_name_H-M 'P 1'
_symmetry_Int_Tables_number 1
loop_
_symmetry_equiv_pos_as_xyz
'x,y,z'
loop_
_atom_site_label
_atom_site_type_symbol
_atom_site_fract_x
_atom_site_fract_y
_atom_site_fract_z
Hg1 Hg 0.750 0.250 0.500
Hg2 Hg 0.250 0.750 0.500
Ir1 Ir 0.500 0.500 0.000
Os1 Os 0.000 0.000 0.000
```

Space-group type: I4/mmm
Distance to the lowest polymorph of the same formula: 65 kJ/mol of formula units
Fermi-level density of states: 5.25 states/eV/f.u.

---

Record 8
SrCaSb2: relaxed, PBEsol.

The structure in CIF format:
```
data_SrCaSb2
_cell_length_a 3.781
_cell_length_b 5.631
_cell_length_c 5.631
_cell_angle_alpha 100.18
_cell_angle_beta 90.00
_cell_angle_gamma 90.00
_symmetry_space_group_name_H-M 'P 1'
_symmetry_Int_Tables_number 1
loop_
_symmetry_equiv_pos_as_xyz
'x,y,z'
loop_
_atom_site_label
_atom_site_type_symbol
_atom_site_fract_x
_atom_site_fract_y
_atom_site_fract_z
Sb1 Sb 0.000 0.500 0.000
Sb2 Sb 0.000 0.000 0.500
Ca1 Ca 0.500 0.500 0.500
Sr1 Sr 0.500 0.000 0.000
```

Space-group type: Cmmm
Distance to the lowest polymorph of the same formula: 11 kJ/mol of formula units
Fermi-level density of states: 1.57 states/eV/f.u.
E_form (uncorrected): -844.6 meV/atom